Entry 1:
YBeRhC2 PBE relaxed; calculated formation energy = 2.574 eV/atom; volume = 17.40 A^3/atom
1.0
4.2315 0.0000 0.0000
0.0000 4.2315 0.0000
0.0000 0.0000 4.8599
Y Be Rh C
1 1 1 2
direct
0.0000 0.0000 0.0000
0.0000 0.0000 0.5000
0.5000 0.5000 0.5000
0.0000 0.5000 0.0000
0.5000 0.0000 0.0000

Entry 2:
Zr2BeRhC PBE relaxed; calculated formation energy = 1.152 eV/atom; energy above the most stable polymorph in this dataset = 1682 meV/atom; volume = 19.50 A^3/atom
1.0
4.9271 0.0000 0.0000
0.0000 4.9271 0.0000
0.0000 0.0000 4.0158
Zr Be Rh C
2 1 1 1
direct
0.0000 0.5000 0.0000
0.5000 0.0000 0.0000
0.0000 0.0000 0.5000
0.0000 0.0000 0.0000
0.5000 0.5000 0.5000

Entry 3:
Zr2BeRhC PBE relaxed; calculated formation energy = -0.530 eV/atom; energy above the most stable polymorph in this dataset = 0 meV/atom; volume = 14.70 A^3/atom
1.0
4.6246 0.0000 0.0000
0.0000 4.6246 0.0000
0.0000 0.0000 3.4374
Zr Be Rh C
2 1 1 1
direct
0.0000 0.5000 0.0000
0.5000 0.0000 0.0000
0.0000 0.0000 0.5000
0.5000 0.5000 0.5000
0.0000 0.0000 0.0000

Entry 4:
Be2RuC PBE relaxed; calculated formation energy = 0.314 eV/atom; volume = 9.45 A^3/atom
1.0
-3.0478 3.0478 2.0357
3.0478 -3.0478 2.0357
3.0478 3.0478 -2.0357
Be Ru C
4 2 2
direct
0.0213 0.6250 0.8963
0.3750 0.2713 0.3963
0.7287 0.1250 0.1037
0.8750 0.9787 0.6037
0.2500 0.7500 0.5000
0.5000 0.5000 0.0000
0.0000 0.0000 0.0000
0.7500 0.2500 0.5000